{"formula": "Ni3SnH", "functional": "PBE", "state": "optimized geometry", "relative_energy_ev_per_atom": 0.535, "total_energy_ev_per_atom": -4.60, "vol_a3_per_cell": 78.45, "lattice": [[-1.446, 2.296, 0.133], [-3.645, -2.010, -4.924], [-0.198, -0.498, 6.426]], "species": ["Ni", "Ni", "Ni", "Sn", "H"], "fractional_positions": [[0.000, 0.277, 0.723], [0.500, 0.158, 0.331], [0.500, 0.669, 0.842], [0.500, 0.100, 0.900], [0.000, 0.425, 0.575]]}

{"formula": "Sr2NiSn2H4", "functional": "PBE", "state": "optimized geometry", "total_energy_ev_per_atom": -3.49, "vol_a3_per_cell": 170.71, "lattice": [[-4.207, -2.040, 3.934], [-0.705, -1.855, -5.779], [5.667, -2.095, 0.910]], "species": ["Ni", "Sn", "Sn", "H", "H", "H", "H", "Sr", "Sr"], "fractional_positions": [[0.000, 0.000, 0.000], [0.000, 0.669, 0.669], [0.000, 0.331, 0.331], [0.000, 0.833, 0.167], [0.000, 0.167, 0.833], [0.335, 0.167, 0.167], [0.665, 0.833, 0.833], [0.500, 0.750, 0.250], [0.500, 0.250, 0.750]]}

{"formula": "SrNiSnH2", "functional": "PBE", "state": "optimized geometry", "total_energy_ev_per_atom": -3.99, "vol_a3_per_cell": 152.35, "lattice": [[-0.426, 2.718, -2.991], [-5.705, -1.854, 1.888], [-0.108, 4.653, 4.243]], "species": ["Ni", "Ni", "Sn", "Sn", "H", "H", "H", "H", "Sr", "Sr"], "fractional_positions": [[0.000, 0.000, 0.500], [0.000, 0.000, 0.000], [0.427, 0.854, 0.750], [0.573, 0.146, 0.250], [0.868, 0.736, 0.036], [0.868, 0.736, 0.464], [0.132, 0.264, 0.964], [0.132, 0.264, 0.536], [0.700, 0.401, 0.750], [0.300, 0.599, 0.250]]}

{"formula": "SrNi2SnH8", "functional": "PBE", "state": "optimized geometry", "total_energy_ev_per_atom": -3.61, "vol_a3_per_cell": 123.95, "lattice": [[4.637, 0.000, 0.000], [2.318, 4.016, 0.000], [2.318, 1.339, 6.657]], "species": ["H", "H", "H", "H", "H", "H", "H", "H", "Sn", "Sr", "Ni", "Ni"], "fractional_positions": [[0.604, 0.257, 0.204], [0.065, 0.396, 0.796], [0.743, 0.065, 0.796], [0.257, 0.935, 0.204], [0.809, 0.809, 0.574], [0.191, 0.191, 0.426], [0.396, 0.743, 0.796], [0.935, 0.604, 0.204], [0.000, 0.000, 0.000], [0.500, 0.500, 0.500], [0.267, 0.267, 0.199], [0.733, 0.733, 0.801]]}

{"formula": "Ta2NiSnH", "functional": "PBE", "state": "optimized geometry", "relative_energy_ev_per_atom": 0.000, "total_energy_ev_per_atom": -7.43, "vol_a3_per_cell": 70.25, "lattice": [[4.006, 0.000, 0.000], [0.000, 4.006, 0.000], [0.000, 0.000, 4.378]], "species": ["H", "Sn", "Ni", "Ta", "Ta"], "fractional_positions": [[0.000, 0.000, 0.000], [0.500, 0.500, 0.500], [0.000, 0.000, 0.500], [0.500, 0.000, 0.000], [0.000, 0.500, 0.000]]}

{"formula": "Ta2NiSnH", "functional": "PBE", "state": "optimized geometry", "relative_energy_ev_per_atom": 2.434, "total_energy_ev_per_atom": -4.99, "vol_a3_per_cell": 120.16, "lattice": [[5.151, 0.000, 0.000], [0.000, 5.151, 0.000], [0.000, 0.000, 4.529]], "species": ["Ta", "Ta", "Ni", "Sn", "H"], "fractional_positions": [[0.000, 0.500, 0.000], [0.500, 0.000, 0.000], [0.000, 0.000, 0.500], [0.000, 0.000, 0.000], [0.500, 0.500, 0.500]]}

{"formula": "TcNi2SnH", "functional": "PBE", "state": "optimized geometry", "total_energy_ev_per_atom": -5.88, "vol_a3_per_cell": 58.51, "lattice": [[3.862, 0.000, 0.000], [0.000, 3.862, 0.000], [0.000, 0.000, 3.922]], "species": ["Tc", "Ni", "Ni", "Sn", "H"], "fractional_positions": [[0.000, 0.000, 0.500], [0.500, 0.000, 0.000], [0.000, 0.500, 0.000], [0.500, 0.500, 0.500], [0.000, 0.000, 0.000]]}

{"formula": "TiNi2SnH", "functional": "PBE", "state": "optimized geometry", "total_energy_ev_per_atom": -5.60, "vol_a3_per_cell": 60.68, "lattice": [[3.923, 0.000, 0.000], [0.000, 3.923, 0.000], [0.000, 0.000, 3.943]], "species": ["Ni", "Ni", "H", "Ti", "Sn"], "fractional_positions": [[0.000, 0.500, 0.000], [0.500, 0.000, 0.000], [0.000, 0.000, 0.000], [0.000, 0.000, 0.500], [0.500, 0.500, 0.500]]}

{"formula": "Ti2NiSnH", "functional": "PBE", "state": "optimized geometry", "total_energy_ev_per_atom": -6.17, "vol_a3_per_cell": 65.99, "lattice": [[4.029, 0.000, 0.000], [0.000, 4.029, 0.000], [0.000, 0.000, 4.066]], "species": ["Ti", "Ti", "H", "Sn", "Ni"], "fractional_positions": [[0.000, 0.500, 0.000], [0.500, 0.000, 0.000], [0.000, 0.000, 0.000], [0.500, 0.500, 0.500], [0.000, 0.000, 0.500]]}

{"formula": "V2NiSnH", "functional": "PBE", "state": "optimized geometry", "total_energy_ev_per_atom": -6.42, "vol_a3_per_cell": 59.68, "lattice": [[3.752, 0.000, 0.000], [0.000, 3.752, 0.000], [0.000, 0.000, 4.239]], "species": ["H", "Ni", "V", "V", "Sn"], "fractional_positions": [[0.000, 0.000, 0.000], [0.000, 0.000, 0.500], [0.000, 0.500, 0.000], [0.500, 0.000, 0.000], [0.500, 0.500, 0.500]]}

{"formula": "Ni2SnHW", "functional": "PBE", "state": "optimized geometry", "total_energy_ev_per_atom": -5.19, "vol_a3_per_cell": 73.51, "lattice": [[4.786, 0.000, 0.000], [0.000, 3.210, 0.000], [0.000, 0.000, 4.786]], "species": ["H", "Ni", "Ni", "Sn", "W"], "fractional_positions": [[0.000, 0.500, 0.000], [0.000, 0.000, 0.500], [0.500, 0.000, 0.000], [0.000, 0.000, 0.000], [0.500, 0.500, 0.500]]}

{"formula": "ZnNiSnH2", "functional": "PBE", "state": "optimized geometry", "total_energy_ev_per_atom": -2.92, "vol_a3_per_cell": 76.54, "lattice": [[3.658, 0.000, 0.000], [0.000, 3.658, 0.000], [0.000, 0.000, 5.721]], "species": ["Zn", "Sn", "Ni", "H", "H"], "fractional_positions": [[0.000, 0.000, 0.500], [0.000, 0.000, 0.000], [0.500, 0.500, 0.500], [0.000, 0.500, 0.000], [0.500, 0.000, 0.000]]}

{"formula": "Zr2NiSnH", "functional": "PBE", "state": "optimized geometry", "total_energy_ev_per_atom": -6.45, "vol_a3_per_cell": 78.69, "lattice": [[-2.124, -1.859, -3.358], [-2.630, -2.090, 2.821], [-2.605, 3.150, -0.095]], "species": ["Zr", "Zr", "H", "Sn", "Ni"], "fractional_positions": [[0.500, 0.000, 0.000], [0.000, 0.500, 0.000], [0.000, 0.000, 0.000], [0.500, 0.500, 0.500], [0.000, 0.000, 0.500]]}

{"formula": "Zr6NiSn2H10", "functional": "PBE", "state": "optimized geometry", "total_energy_ev_per_atom": -5.67, "vol_a3_per_cell": 425.55, "lattice": [[8.169, 0.000, 0.000], [-4.085, 7.075, 0.000], [0.000, 0.000, 7.363]], "species": ["Zr", "Zr", "Zr", "Zr", "Zr", "Zr", "Zr", "Zr", "Zr", "Zr", "Zr", "Zr", "Ni", "Ni", "H", "H", "H", "H", "H", "H", "H", "H", "H", "H", "H", "H", "H", "H", "H", "H", "H", "H", "H", "H", "Sn", "Sn", "Sn", "Sn"], "fractional_positions": [[0.368, 0.952, 0.750], [0.632, 0.584, 0.250], [0.000, 0.742, 0.000], [0.742, 0.000, 0.500], [0.258, 0.258, 0.500], [0.584, 0.632, 0.750], [0.000, 0.742, 0.500], [0.416, 0.048, 0.250], [0.258, 0.258, 0.000], [0.048, 0.416, 0.750], [0.742, 0.000, 0.000], [0.952, 0.368, 0.250], [0.000, 0.000, 0.750], [0.000, 0.000, 0.250], [0.896, 0.598, 0.250], [0.000, 0.273, 0.500], [0.122, 0.240, 0.250], [0.000, 0.000, 0.500], [0.000, 0.000, 0.000], [0.000, 0.273, 0.000], [0.118, 0.878, 0.250], [0.882, 0.760, 0.750], [0.297, 0.402, 0.750], [0.273, 0.000, 0.500], [0.727, 0.727, 0.500], [0.878, 0.118, 0.750], [0.727, 0.727, 0.000], [0.240, 0.122, 0.750], [0.402, 0.297, 0.250], [0.703, 0.104, 0.250], [0.598, 0.896, 0.750], [0.760, 0.882, 0.250], [0.273, 0.000, 0.000], [0.104, 0.703, 0.750], [0.667, 0.333, 0.959], [0.333, 0.667, 0.041], [0.667, 0.333, 0.541], [0.333, 0.667, 0.459]]}

{"formula": "SrNi3H", "functional": "PBE", "state": "optimized geometry", "relative_energy_ev_per_atom": 2.007, "total_energy_ev_per_atom": -2.21, "vol_a3_per_cell": 122.29, "lattice": [[-3.971, -2.598, 1.456], [-0.741, -1.489, -4.677], [2.885, -3.959, 0.803]], "species": ["Sr", "Ni", "Ni", "Ni", "H"], "fractional_positions": [[0.000, 0.000, 0.000], [0.000, 0.000, 0.500], [0.500, 0.000, 0.000], [0.000, 0.500, 0.000], [0.500, 0.500, 0.500]]}

{"formula": "Sr2NiH4", "functional": "PBE", "state": "optimized geometry", "relative_energy_ev_per_atom": 0.069, "total_energy_ev_per_atom": -3.62, "vol_a3_per_cell": 100.81, "lattice": [[-0.623, 3.578, -0.384], [-3.499, -0.693, -0.782], [-3.798, 1.929, 6.757]], "species": ["Sr", "Sr", "H", "H", "H", "H", "Ni"], "fractional_positions": [[0.374, 0.374, 0.251], [0.626, 0.626, 0.749], [0.891, 0.891, 0.218], [0.000, 0.500, 0.000], [0.109, 0.109, 0.782], [0.500, 0.000, 0.000], [0.000, 0.000, 0.000]]}

{"formula": "SrNiH", "functional": "PBE", "state": "optimized geometry", "total_energy_ev_per_atom": -3.50, "vol_a3_per_cell": 295.03, "lattice": [[-4.025, -5.414, 2.689], [0.552, 0.892, -7.187], [5.162, -3.880, -0.085]], "species": ["H", "H", "H", "H", "H", "H", "Ni", "Ni", "Ni", "Ni", "Ni", "Ni", "Sr", "Sr", "Sr", "Sr", "Sr", "Sr"], "fractional_positions": [[0.667, 0.333, 0.000], [0.333, 0.667, 0.000], [0.000, 0.000, 0.250], [0.667, 0.333, 0.500], [0.333, 0.667, 0.500], [0.000, 0.000, 0.750], [0.187, 0.000, 0.000], [0.000, 0.187, 0.500], [0.187, 0.000, 0.500], [0.000, 0.187, 0.000], [0.813, 0.813, 0.000], [0.813, 0.813, 0.500], [0.000, 0.576, 0.750], [0.424, 0.424, 0.750], [0.000, 0.576, 0.250], [0.576, 0.000, 0.250], [0.424, 0.424, 0.250], [0.576, 0.000, 0.750]]}

{"formula": "Sr2Ni2H5", "functional": "PBE", "state": "optimized geometry", "total_energy_ev_per_atom": -3.90, "vol_a3_per_cell": 100.11, "lattice": [[3.608, 0.000, 0.000], [0.000, 3.608, 0.000], [0.000, 0.000, 7.691]], "species": ["H", "H", "H", "H", "H", "Ni", "Ni", "Sr", "Sr"], "fractional_positions": [[0.000, 0.500, 0.249], [0.500, 0.500, 0.500], [0.500, 0.000, 0.249], [0.000, 0.500, 0.751], [0.500, 0.000, 0.751], [0.500, 0.500, 0.265], [0.500, 0.500, 0.735], [0.000, 0.000, 0.000], [0.000, 0.000, 0.500]]}

{"formula": "SrNi2H8", "functional": "PBE", "state": "optimized geometry", "relative_energy_ev_per_atom": 0.000, "total_energy_ev_per_atom": -3.72, "vol_a3_per_cell": 79.28, "lattice": [[-3.866, 0.637, -1.551], [-1.783, -2.463, 3.437], [0.457, 4.510, 0.716]], "species": ["H", "H", "H", "H", "H", "H", "H", "H", "Ni", "Ni", "Sr"], "fractional_positions": [[0.500, 0.665, 0.335], [0.001, 0.019, 0.317], [0.999, 0.981, 0.683], [0.239, 0.500, 0.500], [0.001, 0.317, 0.019], [0.999, 0.683, 0.981], [0.500, 0.335, 0.665], [0.761, 0.500, 0.500], [0.000, 0.329, 0.671], [0.000, 0.671, 0.329], [0.500, 0.000, 0.000]]}

{"formula": "SrNi3H", "functional": "PBE", "state": "optimized geometry", "relative_energy_ev_per_atom": 0.000, "total_energy_ev_per_atom": -4.21, "vol_a3_per_cell": 63.96, "lattice": [[-3.674, 0.358, -1.539], [-1.579, -0.715, 3.604], [0.047, 3.918, 0.798]], "species": ["Ni", "Ni", "Ni", "Sr", "H"], "fractional_positions": [[0.000, 0.500, 0.000], [0.000, 0.000, 0.500], [0.500, 0.000, 0.000], [0.500, 0.500, 0.500], [0.000, 0.000, 0.000]]}

{"formula": "Sr2NiH4", "functional": "PBE", "state": "optimized geometry", "relative_energy_ev_per_atom": 0.000, "total_energy_ev_per_atom": -3.69, "vol_a3_per_cell": 214.59, "lattice": [[-2.590, 4.044, 2.543], [-2.369, -3.481, 3.124], [5.697, 0.520, 4.900]], "species": ["Sr", "Sr", "Sr", "Sr", "H", "H", "H", "H", "H", "H", "H", "H", "Ni", "Ni"], "fractional_positions": [[0.265, 0.250, 0.496], [0.735, 0.750, 0.998], [0.265, 0.250, 0.002], [0.735, 0.750, 0.504], [0.802, 0.250, 0.951], [0.486, 0.513, 0.250], [0.514, 0.487, 0.750], [0.198, 0.750, 0.049], [0.514, 0.013, 0.750], [0.196, 0.750, 0.449], [0.486, 0.987, 0.250], [0.804, 0.250, 0.551], [0.288, 0.750, 0.249], [0.712, 0.250, 0.751]]}

{"formula": "SrNi2H2", "functional": "PBE", "state": "optimized geometry", "total_energy_ev_per_atom": -4.10, "vol_a3_per_cell": 63.36, "lattice": [[-2.921, 0.650, 1.844], [-1.096, -3.290, -0.576], [0.355, -2.857, 4.918]], "species": ["Ni", "Ni", "H", "H", "Sr"], "fractional_positions": [[0.276, 0.276, 0.447], [0.724, 0.724, 0.553], [0.750, 0.250, 0.500], [0.250, 0.750, 0.500], [0.000, 0.000, 0.000]]}

{"formula": "SrNi2H", "functional": "PBE", "state": "optimized geometry", "relative_energy_ev_per_atom": 1.046, "total_energy_ev_per_atom": -3.21, "vol_a3_per_cell": 62.52, "lattice": [[0.000, 3.150, 3.150], [3.150, 0.000, 3.150], [3.150, 3.150, 0.000]], "species": ["Sr", "H", "Ni", "Ni"], "fractional_positions": [[0.500, 0.500, 0.500], [0.000, 0.000, 0.000], [0.750, 0.750, 0.750], [0.250, 0.250, 0.250]]}